Density functional theory data (PBE) for crystalline Zr2CdAu2 at its relaxed geometry.

Results
Its final energy is -24.95 eV per cell. For the calculated volume, the calculation gives 117 Å³ per cell. The value obtained for the energy of formation is -0.08 eV per atom. The calculation puts the density of states at the Fermi level at 4.0 states/eV/cell.

The structure in POSCAR format:
```
Zr2CdAu2
1.0
-2.175 2.175 6.159
2.175 -2.175 6.159
2.175 2.175 -6.159
Zr Cd Au
2 1 2
Direct
0.250 0.750 0.500 Zr
0.750 0.250 0.500 Zr
0.000 0.000 0.000 Cd
0.394 0.394 0.000 Au
0.606 0.606 0.000 Au
```

=====

Density functional theory data (PBE) for crystalline ZrCdAu3 at its relaxed geometry.

Results
Its final energy is -42.70 eV per cell. For the calculated volume, the calculation gives 193 Å³ per cell. The value obtained for the energy of formation is -0.41 eV per atom. The calculation puts the energy above the most stable polymorph in this dataset at 0.0 meV per atom. The calculation puts the density of states at the Fermi level at 2.1 states/eV/cell.

The structure in POSCAR format:
```
ZrCdAu3
1.0
2.524 -7.557 0.000
2.524 7.557 0.000
0.000 0.000 5.048
Zr Cd Au
2 2 6
Direct
0.145 0.855 0.750 Zr
0.855 0.145 0.250 Zr
0.352 0.648 0.750 Cd
0.648 0.352 0.250 Cd
0.048 0.952 0.250 Au
0.249 0.751 0.250 Au
0.449 0.551 0.250 Au
0.551 0.449 0.750 Au
0.751 0.249 0.750 Au
0.952 0.048 0.750 Au
```

=====

Density functional theory data (PBE) for crystalline ZrCd3Au at its relaxed geometry.

Results
Its final energy is -9.36 eV per cell. For the calculated volume, the calculation gives 179 Å³ per cell. The value obtained for the energy of formation is 1.04 eV per atom. The calculation puts the energy above the most stable polymorph in this dataset at 1215.6 meV per atom. The calculation puts the density of states at the Fermi level at 5.9 states/eV/cell.

The structure in POSCAR format:
```
ZrCd3Au
1.0
5.633 0.000 0.000
0.000 5.633 0.000
0.000 0.000 5.633
Zr Cd Au
1 3 1
Direct
0.000 0.000 0.000 Zr
0.000 0.000 0.500 Cd
0.000 0.500 0.000 Cd
0.500 0.000 0.000 Cd
0.500 0.500 0.500 Au
```